[1]
Compound: BaLa2Ni
Source: Alexandria via LeMat-Bulk
Functional: PBE
Structure: optimized geometry

a b c (Å): 7.168 7.168 7.168
angles (deg): 104.26 104.26 120.50
Fractional coordinates of all 8 atoms:
Ba (0.000, 0.000, 0.000)
Ba (0.750, 0.250, 0.500)
La (0.213, 0.625, 0.088)
La (0.375, 0.463, 0.588)
La (0.537, 0.125, 0.912)
La (0.875, 0.787, 0.412)
Ni (0.250, 0.750, 0.500)
Ni (0.500, 0.500, 0.000)

Summary:
Raw total energy: -4.327 eV/atom
N(E_F): 3.553 states/eV/f.u.
Offset from the most stable computed form: 164 meV per atom
Mass density: 5.711 g cm⁻³
Size of the total moment: 0.000 μB/f.u.
DFT formation energy: 0.063 eV per atom


[2]
Compound: Cs2LiTl3I6
Source: Alexandria via LeMat-Bulk
Functional: PBE
Structure: optimized geometry

a b c (Å): 9.017 9.017 8.747
angles (deg): 100.07 100.07 120.79
Fractional coordinates of all 12 atoms:
Cs (0.168, 0.832, 0.000)
Cs (0.832, 0.168, 0.000)
Li (0.500, 0.500, 0.000)
Tl (0.000, 0.000, 0.500)
Tl (0.341, 0.659, 0.500)
Tl (0.659, 0.341, 0.500)
I (0.151, 0.424, 0.768)
I (0.275, 0.275, 0.269)
I (0.424, 0.151, 0.768)
I (0.576, 0.849, 0.232)
I (0.725, 0.725, 0.731)
I (0.849, 0.576, 0.232)

Summary:
Raw total energy: -2.673 eV/atom
Uncorrected formation energy: -1.00 eV per atom
N(E_F): 0.000 states/eV/f.u.
Mass density: 4.787 g cm⁻³
Size of the total moment: 0.000 μB/f.u.


[3]
Compound: LiCuPd3
Source: Alexandria via LeMat-Bulk
Functional: PBE
Structure: optimized geometry

a b c (Å): 6.713 6.713 5.249
angles (deg): 97.04 97.04 37.10
Fractional coordinates of all 10 atoms:
Li (0.103, 0.103, 0.468)
Li (0.897, 0.897, 0.532)
Cu (0.295, 0.295, 0.855)
Cu (0.705, 0.705, 0.145)
Pd (0.105, 0.105, 0.967)
Pd (0.302, 0.302, 0.355)
Pd (0.487, 0.487, 0.746)
Pd (0.513, 0.513, 0.254)
Pd (0.698, 0.698, 0.645)
Pd (0.895, 0.895, 0.033)

Summary:
Raw total energy: -4.544 eV/atom
N(E_F): 3.658 states/eV/f.u.
Offset from the most stable computed form: 0 meV per atom
Mass density: 9.150 g cm⁻³
Size of the total moment: 0.000 μB/f.u.
DFT formation energy: -0.226 eV per atom


Copy entry 1 word for word.
Compound: BaLa2Ni
Source: Alexandria via LeMat-Bulk
Functional: PBE
Structure: optimized geometry

a b c (Å): 7.168 7.168 7.168
angles (deg): 104.26 104.26 120.50
Fractional coordinates of all 8 atoms:
Ba (0.000, 0.000, 0.000)
Ba (0.750, 0.250, 0.500)
La (0.213, 0.625, 0.088)
La (0.375, 0.463, 0.588)
La (0.537, 0.125, 0.912)
La (0.875, 0.787, 0.412)
Ni (0.250, 0.750, 0.500)
Ni (0.500, 0.500, 0.000)

Summary:
Raw total energy: -4.327 eV/atom
N(E_F): 3.553 states/eV/f.u.
Offset from the most stable computed form: 164 meV per atom
Mass density: 5.711 g cm⁻³
Size of the total moment: 0.000 μB/f.u.
DFT formation energy: 0.063 eV per atom